## Ac2Zn3Pt (GGA-PBE)

Data for a relaxed Ac2Zn3Pt crystal.

Mass density   9.4 g/cm3
Space group   Pmm2 (25)
Total energy   -21.6 eV/f.u.
E_form   -0.5905 eV/atom

Cell and atoms, written as POSCAR:
```
Ac2Zn3Pt
1.0
-0.289 -3.592 1.977
4.071 -1.259 -1.694
3.619 3.191 6.328
Ac Zn Pt
2 3 1
direct
0.000 0.500 0.019 Ac
0.000 0.000 0.484 Ac
0.500 0.000 0.830 Zn
0.500 0.000 0.161 Zn
0.500 0.500 0.672 Zn
0.500 0.500 0.334 Pt
```